# 1
! YAlIn2 meta-GGA SCAN PBEsol geometry; values from VASP
&SYSTEM
  ibrav = 0, nat = 4, ntyp = 3
/
ATOMIC_SPECIES
Y 88.91 Y.upf
Al 26.98 Al.upf
In 114.82 In.upf
CELL_PARAMETERS angstrom
3.664 0.000 0.000
0.000 3.664 0.000
0.000 0.000 6.850
ATOMIC_POSITIONS angstrom
Y 0.000 0.000 0.000
Al 0.000 0.000 3.425
In 1.832 1.832 1.923
In 1.832 1.832 4.926
! Raw total energy = -25.905 eV/atom
! V = 91.97 Å³/cell
! Size of the total moment = 0.6 Bohr magnetons per cell
! Energy of formation = -0.313 eV/atom


# 2
! CoTe2MoI meta-GGA SCAN PBEsol geometry; values from VASP
&SYSTEM
  ibrav = 0, nat = 5, ntyp = 4
/
ATOMIC_SPECIES
Co 58.93 Co.upf
Te 127.60 Te.upf
Mo 95.94 Mo.upf
I 126.90 I.upf
CELL_PARAMETERS angstrom
5.127 0.000 0.000
0.000 5.127 0.000
0.000 0.000 5.613
ATOMIC_POSITIONS angstrom
Co 0.000 0.000 0.000
Te 0.000 2.564 2.807
Te 2.564 0.000 2.807
Mo 2.564 2.564 2.807
I 2.564 2.564 0.000
! Raw total energy = -31.765 eV/atom
! V = 147.56 Å³/cell
! Size of the total moment = 1.1 Bohr magnetons per cell